1.
DFT (SCAN) results for a PBEsol-optimized structure of LiAu2.

ρ: 14.38 Mg/m³
Calculated formation energy: -0.462 eV/atom
Volume: 92.6 Å³ per cell

Structure (POSCAR):
```
LiAu2
1.0
4.432 0.000 0.000
-2.216 3.838 0.000
0.000 0.000 5.443
Li Au
2 4
Cartesian
0.000 2.559 1.361 Li
2.216 1.279 4.083 Li
0.000 0.000 0.000 Au
0.000 0.000 2.722 Au
0.000 2.559 4.083 Au
2.216 1.279 1.361 Au
```

***

2.
DFT (SCAN) results for a PBEsol-optimized structure of FePt2Rh.

ρ: 16.64 Mg/m³
Calculated formation energy: -0.171 eV/atom
Volume: 54.8 Å³ per cell

Structure (POSCAR):
```
FePt2Rh
1.0
2.699 0.000 0.000
0.000 2.699 0.000
0.000 0.000 7.518
Fe Pt Rh
1 2 1
Cartesian
0.000 0.000 0.000 Fe
0.000 0.000 3.857 Pt
1.350 1.350 1.787 Pt
1.350 1.350 5.813 Rh
```

***

3.
DFT (SCAN) results for a PBEsol-optimized structure of HoBO3.

Formation energy from raw total energies: -3.391 eV/atom
ρ: 6.43 Mg/m³
Volume: 115.6 Å³ per cell

Structure (POSCAR):
```
HoBO3
1.0
2.474 1.428 5.455
-2.474 1.428 5.455
0.000 -2.857 5.455
Ho B O
2 2 6
Cartesian
0.000 0.000 0.000 Ho
0.000 0.000 8.182 Ho
0.000 0.000 4.091 B
0.000 0.000 12.273 B
-1.782 -0.230 6.818 O
-0.692 -1.658 9.546 O
1.090 -1.428 6.818 O
-1.090 1.428 9.546 O
0.692 1.658 6.818 O
1.782 0.230 9.546 O
```

***

4.
DFT (SCAN) results for a PBEsol-optimized structure of LaW.

ρ: 12.83 Mg/m³
Calculated formation energy: 1.057 eV/atom
Volume: 41.8 Å³ per cell

Structure (POSCAR):
```
LaW
1.0
1.623 -2.455 0.000
1.623 2.455 0.000
0.000 0.000 5.244
La W
1 1
Cartesian
0.000 0.000 0.000 La
1.623 0.000 2.622 W
```

***

5.
DFT (SCAN) results for a PBEsol-optimized structure of Cd5Hg3.

ρ: 11.33 Mg/m³
Calculated formation energy: 0.011 eV/atom
Volume: 170.6 Å³ per cell

Structure (POSCAR):
```
Cd5Hg3
1.0
4.318 -4.479 0.000
4.318 4.479 0.000
0.000 0.000 4.411
Cd Hg
5 3
Cartesian
0.000 0.000 0.000 Cd
2.159 2.240 0.000 Cd
2.226 0.000 2.205 Cd
2.159 -2.240 0.000 Cd
6.411 0.000 2.205 Cd
4.318 2.344 2.205 Hg
4.318 0.000 0.000 Hg
4.318 -2.344 2.205 Hg
```

***

6.
DFT (SCAN) results for a PBEsol-optimized structure of LaNbBi2Os.

ρ: 9.94 Mg/m³
Calculated formation energy: 0.506 eV/atom
Volume: 140.3 Å³ per cell

Structure (POSCAR):
```
LaNbBi2Os
1.0
5.380 0.000 0.000
0.000 5.380 0.000
0.000 0.000 4.849
La Nb Bi Os
1 1 2 1
Cartesian
0.000 0.000 0.000 La
2.690 2.690 0.000 Nb
0.000 2.690 2.424 Bi
2.690 0.000 2.424 Bi
2.690 2.690 2.424 Os
```

***

7.
DFT (SCAN) results for a PBEsol-optimized structure of Ta4Se8SI8.

Formation energy from raw total energies: -0.574 eV/atom
ρ: 5.81 Mg/m³
Volume: 2745.2 Å³ per cell

Structure (POSCAR):
```
Ta4Se8SI8
1.0
14.475 0.000 0.000
0.000 14.165 0.000
0.000 0.000 13.389
Ta Se S I
16 32 4 32
Cartesian
2.609 3.000 2.348 Ta
2.664 0.060 3.797 Ta
2.886 4.396 5.265 Ta
2.966 1.511 6.695 Ta
4.272 8.593 0.000 Ta
4.351 11.478 11.960 Ta
4.573 7.142 10.492 Ta
4.629 10.083 9.042 Ta
9.846 4.082 2.348 Ta
9.902 7.023 3.797 Ta
10.124 2.687 5.265 Ta
10.203 5.572 6.695 Ta
11.509 12.654 0.000 Ta
11.589 9.769 11.960 Ta
11.811 14.105 10.492 Ta
11.866 11.164 9.042 Ta
0.686 1.245 2.540 Se
0.841 4.449 3.644 Se
0.973 0.046 5.821 Se
1.117 3.377 6.887 Se
2.569 0.606 1.204 Se
2.801 5.586 2.913 Se
3.035 13.085 6.143 Se
3.248 3.879 7.822 Se
3.989 10.962 1.128 Se
4.202 6.003 12.838 Se
4.436 12.668 9.607 Se
4.668 7.688 7.898 Se
6.121 10.460 0.193 Se
6.265 7.128 12.516 Se
6.396 11.531 10.339 Se
6.552 8.328 9.234 Se
7.923 5.837 2.540 Se
8.079 2.634 3.644 Se
8.210 7.037 5.821 Se
8.354 3.705 6.887 Se
9.807 6.477 1.204 Se
10.038 1.497 2.913 Se
10.272 8.162 6.143 Se
10.485 3.203 7.822 Se
11.227 10.285 1.128 Se
11.440 1.080 12.838 Se
11.674 8.579 9.607 Se
11.905 13.559 7.898 Se
13.358 10.788 0.193 Se
13.502 14.119 12.516 Se
13.633 9.716 10.339 Se
13.789 12.919 9.234 Se
3.540 2.219 4.455 S
3.697 9.301 11.150 S
10.778 4.864 4.455 S
10.934 11.946 11.150 S
1.513 11.811 3.056 I
1.551 3.902 13.357 I
1.605 8.279 0.424 I
1.617 12.003 11.894 I
1.987 6.448 10.086 I
2.054 10.228 8.208 I
2.178 6.940 6.124 I
2.238 0.769 9.263 I
4.999 7.851 2.568 I
5.060 14.022 12.818 I
5.184 3.146 1.514 I
5.251 13.531 3.391 I
5.620 4.921 5.200 I
5.633 1.196 7.118 I
5.686 10.984 6.662 I
5.725 4.728 9.750 I
8.750 9.436 3.056 I
8.789 3.180 13.357 I
8.842 12.968 0.424 I
8.854 9.244 11.894 I
9.224 0.634 10.086 I
9.291 11.019 8.208 I
9.415 0.143 6.124 I
9.476 6.314 9.263 I
12.236 13.396 2.568 I
12.297 7.225 12.818 I
12.421 3.937 1.514 I
12.488 7.716 3.391 I
12.858 2.161 5.200 I
12.870 5.886 7.118 I
12.923 10.263 6.662 I
12.962 2.354 9.750 I
```

***

8.
DFT (SCAN) results for a PBEsol-optimized structure of Lu5Ge10Rh4.

ρ: 9.81 Mg/m³
Calculated formation energy: -0.892 eV/atom
Volume: 681.8 Å³ per cell

Structure (POSCAR):
```
Lu5Ge10Rh4
1.0
12.767 0.000 0.000
0.000 12.767 0.000
0.000 0.000 4.182
Lu Ge Rh
10 20 8
Cartesian
0.000 0.000 0.000 Lu
1.452 4.932 2.091 Lu
2.217 8.601 2.091 Lu
4.167 2.217 2.091 Lu
4.932 11.315 2.091 Lu
6.384 6.384 0.000 Lu
7.836 1.452 2.091 Lu
8.601 10.550 2.091 Lu
10.550 4.167 2.091 Lu
11.315 7.836 2.091 Lu
0.056 10.776 2.091 Ge
0.851 7.235 0.000 Ge
1.992 0.056 2.091 Ge
2.081 2.544 0.000 Ge
2.544 10.686 0.000 Ge
3.839 4.303 0.000 Ge
4.303 8.928 0.000 Ge
4.392 6.440 2.091 Ge
5.533 0.851 0.000 Ge
6.328 4.392 2.091 Ge
6.440 8.375 2.091 Ge
7.235 11.916 0.000 Ge
8.375 6.328 2.091 Ge
8.465 3.839 0.000 Ge
8.928 8.465 0.000 Ge
10.223 2.081 0.000 Ge
10.686 10.223 0.000 Ge
10.776 12.711 2.091 Ge
11.916 5.533 0.000 Ge
12.711 1.992 2.091 Ge
0.258 9.616 0.000 Rh
3.151 0.258 0.000 Rh
3.233 6.641 0.000 Rh
6.126 3.233 0.000 Rh
6.641 9.535 0.000 Rh
9.535 6.126 0.000 Rh
9.616 12.510 0.000 Rh
12.510 3.151 0.000 Rh
```

***

9.
DFT (SCAN) results for a PBEsol-optimized structure of InGe3Ru.

ρ: 6.72 Mg/m³
Calculated formation energy: 0.249 eV/atom
Volume: 107.2 Å³ per cell

Structure (POSCAR):
```
InGe3Ru
1.0
4.750 0.000 0.000
0.000 4.750 0.000
0.000 0.000 4.750
In Ge Ru
1 3 1
Cartesian
0.000 0.000 0.000 In
0.000 2.375 2.375 Ge
2.375 0.000 2.375 Ge
2.375 2.375 0.000 Ge
2.375 2.375 2.375 Ru
```

***

10.
DFT (SCAN) results for a PBEsol-optimized structure of LiZrTe3.

Formation energy from raw total energies: 0.171 eV/atom
ρ: 6.56 Mg/m³
Volume: 121.7 Å³ per cell

Structure (POSCAR):
```
LiZrTe3
1.0
4.955 0.000 0.000
0.000 4.955 0.000
0.000 0.000 4.955
Li Zr Te
1 1 3
Cartesian
0.000 0.000 0.000 Li
2.478 2.478 2.478 Zr
0.000 0.000 2.478 Te
0.000 2.478 0.000 Te
2.478 0.000 0.000 Te
```

***

11.
DFT (SCAN) results for a PBEsol-optimized structure of Mg2IrW.

ρ: 11.09 Mg/m³
Calculated formation energy: 0.128 eV/atom
Volume: 63.6 Å³ per cell

Structure (POSCAR):
```
Mg2IrW
1.0
1.420 0.820 9.099
-1.420 0.820 9.099
0.000 -1.640 9.099
Mg Ir W
2 1 1
Cartesian
0.000 0.000 6.694 Mg
0.000 0.000 20.603 Mg
0.000 0.000 13.649 Ir
0.000 0.000 0.000 W
```

***

12.
DFT (SCAN) results for a PBEsol-optimized structure of SrBP2O.

Formation energy from raw total energies: 1.686 eV/atom
ρ: 2.24 Mg/m³
Volume: 130.6 Å³ per cell

Structure (POSCAR):
```
SrBP2O
1.0
5.495 0.000 0.000
0.000 5.495 0.000
0.000 0.000 4.326
Sr B P O
1 1 2 1
Cartesian
0.000 0.000 0.000 Sr
2.747 2.747 2.163 B
0.000 2.747 0.000 P
2.747 0.000 0.000 P
0.000 0.000 2.163 O
```